Record 1
Here is crystalline CoW at its relaxed geometry from the Alexandria database. Energies are from PBE.

POSCAR file:
```
CoW
1.0
9.861 0.000 0.000
0.000 4.160 0.000
0.000 0.000 5.178
Co W
8 8
Direct
0.084 0.250 0.122
0.192 0.750 0.364
0.308 0.250 0.864
0.416 0.750 0.622
0.584 0.250 0.378
0.692 0.750 0.136
0.808 0.250 0.636
0.916 0.750 0.878
0.057 0.250 0.615
0.178 0.750 0.875
0.322 0.250 0.375
0.443 0.750 0.115
0.557 0.250 0.885
0.678 0.750 0.625
0.822 0.250 0.125
0.943 0.750 0.385
```

Magnetic moment: 0.11 μB per formula unit
Total energy: -0.7304 Ry per atom
ΔH_f (0 K): 92 meV/atom



Record 2
Here is crystalline LiPaGe at its relaxed geometry from the Alexandria database. Energies are from PBE.

POSCAR file:
```
LiPaGe
1.0
2.771 -2.818 0.000
2.771 2.818 0.000
-0.679 0.000 7.618
Li Pa Ge
2 2 2
Direct
0.248 0.752 0.000
0.752 0.248 0.000
0.206 0.206 0.617
0.794 0.794 0.383
0.282 0.282 0.234
0.718 0.718 0.766
```

Magnetic moment: 0.00 μB per formula unit
Total energy: -0.4188 Ry per atom
ΔE to the lowest computed polymorph: 0 meV/atom
ΔH_f (0 K): -356 meV/atom



Record 3
Here is crystalline TbSmH2 at its relaxed geometry from the Alexandria database. Energies are from PBE.

POSCAR file:
```
TbSmH2
1.0
1.776 1.025 5.926
-1.776 1.025 5.926
0.000 -2.050 5.926
Tb Sm H
1 1 2
Direct
0.000 0.000 0.000
0.179 0.179 0.179
0.592 0.592 0.592
0.760 0.760 0.760
```

Magnetic moment: 0.00 μB per formula unit
Total energy: -0.3170 Ry per atom
ΔE to the lowest computed polymorph: 85 meV/atom



Record 4
Here is crystalline NiSbMo at its relaxed geometry from the Alexandria database. Energies are from PBE.

POSCAR file:
```
NiSbMo
1.0
-1.638 1.638 4.488
1.638 -1.638 4.488
1.638 1.638 -4.488
Ni Sb Mo
1 1 1
Direct
0.000 0.000 0.000
0.657 0.657 0.000
0.340 0.340 0.000
```

Magnetic moment: 0.00 μB per formula unit
Energy relative to the elements, uncorrected: 6.44 kcal/mol of atoms
Total energy: -0.4875 Ry per atom



Record 5
Here is crystalline Ta2FeNiH at its relaxed geometry from the Alexandria database. Energies are from PBE.

POSCAR file:
```
Ta2FeNiH
1.0
4.108 0.000 0.000
0.000 4.108 0.000
0.000 0.000 3.544
Ta Fe Ni H
2 1 1 1
Direct
0.000 0.500 0.000
0.500 0.000 0.000
0.000 0.000 0.500
0.500 0.500 0.500
0.000 0.000 0.000
```

Magnetic moment: 0.84 μB per formula unit
Total energy: -0.6131 Ry per atom
ΔE to the lowest computed polymorph: 6 meV/atom



Record 6
Here is crystalline MgSBr2 at its relaxed geometry from the Alexandria database. Energies are from PBE.

POSCAR file:
```
MgSBr2
1.0
2.291 1.323 10.609
-2.291 1.323 10.609
0.000 -2.646 10.609
Mg S Br
1 1 2
Direct
0.000 0.000 0.000
0.500 0.500 0.500
0.073 0.073 0.073
0.927 0.927 0.927
```

Magnetic moment: 2.00 μB per formula unit
Energy relative to the elements, uncorrected: 2.79 kcal/mol of atoms
Total energy: -0.1577 Ry per atom
ΔE to the lowest computed polymorph: 576 meV/atom



Record 7
Here is crystalline LuZrAlRh at its relaxed geometry from the Alexandria database. Energies are from PBE.

POSCAR file:
```
LuZrAlRh
1.0
0.000 3.402 3.402
3.402 0.000 3.402
3.402 3.402 0.000
Lu Zr Al Rh
1 1 1 1
Direct
0.000 0.000 0.000
0.500 0.500 0.500
0.750 0.750 0.750
0.250 0.250 0.250
```

Magnetic moment: 0.00 μB per formula unit
Total energy: -0.4827 Ry per atom
ΔH_f (0 K): -526 meV/atom



Record 8
Here is crystalline LaTb2Nd6 at its relaxed geometry from the Alexandria database. Energies are from PBE.

POSCAR file:
```
LaTb2Nd6
1.0
3.670 0.000 0.000
0.017 8.980 0.000
1.834 0.069 9.519
La Tb Nd
1 2 6
Direct
0.000 0.000 0.000
0.445 0.665 0.111
0.555 0.335 0.889
0.109 0.664 0.781
0.221 0.335 0.558
0.333 0.001 0.334
0.667 0.999 0.666
0.779 0.665 0.442
0.891 0.336 0.219
```

Magnetic moment: 0.00 μB per formula unit
Total energy: -0.3482 Ry per atom
ΔE to the lowest computed polymorph: 0 meV/atom
ΔH_f (0 K): 17 meV/atom



Record 9
Here is crystalline HoNbPd14 at its relaxed geometry from the Alexandria database. Energies are from PBE.

POSCAR file:
```
HoNbPd14
1.0
5.701 0.000 0.000
0.000 5.701 0.000
0.000 0.000 7.869
Ho Nb Pd
1 1 14
Direct
0.000 0.000 0.000
0.500 0.500 0.000
0.000 0.000 0.500
0.000 0.500 0.000
0.000 0.500 0.500
0.256 0.256 0.250
0.256 0.256 0.750
0.256 0.744 0.250
0.256 0.744 0.750
0.500 0.000 0.000
0.500 0.000 0.500
0.500 0.500 0.500
0.744 0.256 0.250
0.744 0.256 0.750
0.744 0.744 0.250
0.744 0.744 0.750
```

Magnetic moment: 0.00 μB per formula unit
Total energy: -0.4258 Ry per atom
ΔH_f (0 K): -335 meV/atom



Record 10
Here is crystalline NdBi2Sb2Pd7 at its relaxed geometry from the Alexandria database. Energies are from PBE.

POSCAR file:
```
NdBi2Sb2Pd7
1.0
2.935 -2.931 0.000
2.935 2.931 0.000
-1.707 0.000 15.215
Nd Bi Sb Pd
1 2 2 7
Direct
0.000 0.000 0.000
0.127 0.127 0.407
0.873 0.873 0.593
0.427 0.427 0.749
0.573 0.573 0.251
0.041 0.542 0.143
0.364 0.364 0.575
0.458 0.959 0.857
0.500 0.500 0.000
0.542 0.041 0.143
0.636 0.636 0.425
0.959 0.458 0.857
```

Magnetic moment: 0.00 μB per formula unit
Energy relative to the elements, uncorrected: -10.00 kcal/mol of atoms
Total energy: -0.3818 Ry per atom



Record 11
Here is crystalline AcZnCuIr at its relaxed geometry from the Alexandria database. Energies are from PBE.

POSCAR file:
```
AcZnCuIr
1.0
3.785 -2.190 0.000
3.785 2.190 0.000
-2.535 0.000 5.169
Ac Zn Cu Ir
1 1 1 1
Direct
0.000 0.000 0.000
0.491 0.491 0.470
0.195 0.195 0.583
0.797 0.797 0.387
```

Magnetic moment: 0.00 μB per formula unit
Total energy: -0.3651 Ry per atom
ΔH_f (0 K): -382 meV/atom



Record 12
Here is crystalline Rb2ZrBr2O2 at its relaxed geometry from the Alexandria database. Energies are from PBE.

POSCAR file:
```
Rb2ZrBr2O2
1.0
-2.184 2.184 8.882
2.184 -2.184 8.882
2.184 2.184 -8.882
Rb Zr Br O
2 1 2 2
Direct
0.116 0.116 0.000
0.884 0.884 0.000
0.500 0.500 0.000
0.340 0.340 0.000
0.660 0.660 0.000
0.000 0.500 0.500
0.500 0.000 0.500
```

Magnetic moment: 0.00 μB per formula unit
Energy relative to the elements, uncorrected: -48.07 kcal/mol of atoms
Total energy: -0.4025 Ry per atom